1.
# KTl2ZnAu

Crystalline KTl2ZnAu at its relaxed geometry (PBE-GGA, Alexandria via LeMat-Bulk).

Lattice parameters (Å, degrees): 5.680 5.680 5.084 90.00 90.00 90.00
Positions (direct):
K: 0.000 0.000 0.000
Tl: 0.000 0.500 0.500
Tl: 0.500 0.000 0.500
Zn: 0.500 0.500 0.000
Au: 0.500 0.500 0.500

Values from the calculation:
- DOS at the Fermi energy (states/eV/cell) = 3.3
- polymorph energy (0 for the lowest one) (eV/atom) = 0.009
- ΔE_f (kJ/mol of atoms) = 2.6

2.
# CsTlBr2

Crystalline CsTlBr2 at its relaxed geometry (PBE-GGA, Alexandria via LeMat-Bulk).

Lattice parameters (Å, degrees): 8.627 8.627 8.627 33.69 33.69 33.69
Positions (direct):
Cs: 0.000 0.000 0.000
Tl: 0.500 0.500 0.500
Br: 0.243 0.243 0.243
Br: 0.757 0.757 0.757

Values from the calculation:
- DOS at the Fermi energy (states/eV/cell) = 0.0
- uncorrected energy (eV per formula unit) = -11.83

3.
# BeTl2W

Crystalline BeTl2W at its relaxed geometry (PBE-GGA, Alexandria via LeMat-Bulk).

Lattice parameters (Å, degrees): 5.592 5.592 5.592 148.39 125.08 64.76
Positions (direct):
Be: 0.000 0.000 0.000
Tl: 0.220 0.720 0.500
Tl: 0.780 0.280 0.500
W: 0.500 0.500 0.000

Values from the calculation:
- DOS at the Fermi energy (states/eV/cell) = 2.1
- polymorph energy (0 for the lowest one) (eV/atom) = 0.396
- ΔE_f (kJ/mol of atoms) = 103.5

> What is the formula in the third record?

BeTl2W